[1]
4
Lattice="1.4650 0.8458 9.5304 -1.4650 0.8458 9.5304 0.0000 -1.6916 9.5304" Properties=species:S:1:pos:R:3 comment="ScAg2Rh PBE optimized geometry" final_energy_ev_per_atom=-4.67 formation_energy_ev_per_atom=0.179 pbc="T T T"
Sc 0.0000 0.0000 0.0000
Ag 0.0000 0.0000 7.0684
Ag 0.0000 0.0000 21.5230
Rh 0.0000 0.0000 14.2957



[2]
5
Lattice="5.2251 0.0000 0.0000 0.0000 5.2251 0.0000 0.0000 0.0000 5.2251" Properties=species:S:1:pos:R:3 comment="BaNbPd3 PBE optimized geometry" final_energy_ev_per_atom=-3.81 formation_energy_ev_per_atom=1.705 pbc="T T T"
Ba 0.0000 0.0000 0.0000
Nb 2.6126 2.6126 2.6126
Pd 0.0000 0.0000 2.6126
Pd 0.0000 2.6126 0.0000
Pd 2.6126 0.0000 0.0000



[3]
6
Lattice="4.2657 -2.4679 0.0000 4.2657 2.4679 0.0000 -2.8537 0.0000 8.1040" Properties=species:S:1:pos:R:3 comment="TbNdMn PBE optimized geometry" final_energy_ev_per_atom=-5.78 formation_energy_ev_per_atom=0.408 pbc="T T T"
Tb -0.0029 0.0000 3.1012
Tb 5.6806 0.0000 5.0028
Nd 2.8430 0.0000 1.0778
Nd 2.8347 0.0000 7.0261
Mn -0.0096 0.0000 6.0431
Mn 5.6873 0.0000 2.0608



[4]
5
Lattice="-2.2107 2.2107 6.4680 2.2107 -2.2107 6.4680 2.2107 2.2107 -6.4680" Properties=species:S:1:pos:R:3 comment="SrMgCdAg2 PBE optimized geometry" final_energy_ev_per_atom=-2.22 formation_energy_ev_per_atom=-0.246 pbc="T T T"
Sr 0.0000 0.0000 0.0000
Mg 0.0000 2.2107 3.2340
Cd 2.2107 0.0000 3.2340
Ag 0.0000 0.0000 5.0725
Ag 0.0000 0.0000 7.8635



[5]
7
Lattice="4.6586 -2.6935 0.0000 4.6586 2.6935 0.0000 -3.1182 0.0000 8.0227" Properties=species:S:1:pos:R:3 comment="Dy2Ho3Tl2 PBE optimized geometry" final_energy_ev_per_atom=-4.15 formation_energy_ev_per_atom=-0.198 pbc="T T T"
Dy -0.0011 0.0000 1.7913
Dy 6.2000 0.0000 6.2314
Ho 3.1047 0.0000 0.3066
Ho 3.0995 0.0000 4.0113
Ho 3.0942 0.0000 7.7160
Tl -0.0090 0.0000 5.2083
Tl 6.2079 0.0000 2.8144



[6]
12
Lattice="3.6419 -6.3081 0.0000 3.6419 6.3081 0.0000 -2.4299 0.0000 6.8602" Properties=species:S:1:pos:R:3 comment="Ce3Pm2HoAs6 PBE optimized geometry" final_energy_ev_per_atom=-6.46 formation_energy_ev_per_atom=-1.478 pbc="T T T"
Ce 0.0000 0.0000 0.0000
Ce 3.6419 2.1174 0.0000
Ce 3.6419 -2.1174 0.0000
Pm 2.4270 4.2108 3.4301
Pm 2.4270 -4.2108 3.4301
Ho 2.4270 0.0000 3.4301
As 1.2316 2.0731 1.7134
As 0.0347 0.0000 5.1558
As 1.2316 -2.0731 1.7134
As 3.6224 2.0731 5.1468
As 4.8193 0.0000 1.7043
As 3.6224 -2.0731 5.1468



[7]
14
Lattice="4.3201 2.4942 7.0600 -4.3201 2.4942 7.0600 0.0000 -4.9884 7.0600" Properties=species:S:1:pos:R:3 comment="Sn3HgS3 PBE optimized geometry" raw_formation_energy_ev_per_atom=-0.289 final_energy_ev_per_atom=-3.82 pbc="T T T"
Sn -1.5800 -2.6765 9.0633
Sn -3.1079 0.0301 12.1168
Sn -1.5279 2.7066 9.0633
Sn 1.5279 -2.7066 12.1168
Sn 3.1079 -0.0301 9.0633
Sn 1.5800 2.6765 12.1168
Hg 0.0000 0.0000 7.3518
Hg 0.0000 0.0000 13.8283
S -2.9570 -0.5029 9.5661
S -1.0430 -2.8123 11.6141
S -1.9140 2.3094 11.6141
S 1.9140 -2.3094 9.5661
S 1.0430 2.8123 9.5661
S 2.9570 0.5029 11.6141



[8]
4
Lattice="1.7167 0.9911 9.2144 -1.7167 0.9911 9.2144 0.0000 -1.9823 9.2144" Properties=species:S:1:pos:R:3 comment="Sc2WBr PBE optimized geometry" raw_formation_energy_ev_per_atom=0.010 final_energy_ev_per_atom=-6.81 pbc="T T T"
Sc 0.0000 0.0000 2.6548
Sc 0.0000 0.0000 24.9885
W 0.0000 0.0000 13.8217
Br 0.0000 0.0000 0.0000